Density functional theory data (PBE-GGA) for a geometry-optimized Mg3Sn3IrRu2 structure.

Cell lengths 3.269, 7.544, 7.544 Å; angles 120.00, 90.00, 90.00 degrees
Fractional positions:
1 Mg 0.500 0.723 0.000
2 Mg 0.500 0.000 0.723
3 Mg 0.500 0.277 0.277
4 Sn 0.000 0.000 0.378
5 Sn 0.000 0.622 0.622
6 Sn 0.000 0.378 0.000
7 Ir 0.000 0.000 0.000
8 Ru 0.500 0.667 0.333
9 Ru 0.500 0.333 0.667

Output
VASP energy: -5.12 eV per atom
M_tot: 0.00 μB/cell
Formation energy: -178 kJ/mol of formula units
Space-group type: P-62m, No. 189